Below is a relaxed structure of Ba3La2Cl12, with properties calculated at the PBE level.

Properties
DOS(E_F), states/eV/cell: 0.00
E_form (uncorrected), eV/atom: -2.447

Geometry as CIF:
```
data_Ba3La2Cl12
_cell_length_a 11.7417
_cell_length_b 11.7417
_cell_length_c 7.1649
_cell_angle_alpha 90.00
_cell_angle_beta 90.00
_cell_angle_gamma 90.00
_symmetry_space_group_name_H-M 'P 4/m b m'
_symmetry_Int_Tables_number 127
_symmetry_space_group_name_Hall '-P 4 2ab'
loop_
_atom_site_label
_atom_site_type_symbol
_atom_site_fract_x
_atom_site_fract_y
_atom_site_fract_z
_atom_site_occupancy
Ba1 Ba 0.0000 0.0000 0.0000 1
Ba2 Ba 0.1810 0.3190 0.5000 1
La1 La 0.1361 0.6361 0.0000 1
Cl1 Cl 0.0000 0.5000 0.2574 1
Cl2 Cl 0.0632 0.7929 0.2703 1
Cl3 Cl 0.1874 0.3126 0.0000 1
```

Below is a relaxed structure of Nb4Re2Os, with properties calculated at the PBE level.

Properties
DOS(E_F), states/eV/cell: 5.91
Offset from the most stable computed form, eV per atom: 0.000
Energy of formation, eV/atom: 0.01

Geometry as CIF:
```
data_Nb4Re2Os
_cell_length_a 6.3125
_cell_length_b 6.3125
_cell_length_c 6.3594
_cell_angle_alpha 90.00
_cell_angle_beta 90.00
_cell_angle_gamma 90.00
_symmetry_space_group_name_H-M 'I 4/m m m'
_symmetry_Int_Tables_number 139
_symmetry_space_group_name_Hall '-I 4 2'
loop_
_atom_site_label
_atom_site_type_symbol
_atom_site_fract_x
_atom_site_fract_y
_atom_site_fract_z
_atom_site_occupancy
Nb1 Nb 0.2500 0.2500 0.2500 1
Re1 Re 0.0000 0.5000 0.0000 1
Os1 Os 0.0000 0.0000 0.0000 1
```

Below is a relaxed structure of Cd2Sn2I, with properties calculated at the PBE level.

Properties
DOS(E_F), states/eV/cell: 4.39
Offset from the most stable computed form, eV per atom: 0.000
E_form (uncorrected), eV/atom: 0.033

Geometry as CIF:
```
data_Cd2Sn2I
_cell_length_a 8.7549
_cell_length_b 8.7549
_cell_length_c 3.8225
_cell_angle_alpha 90.00
_cell_angle_beta 90.00
_cell_angle_gamma 90.00
_symmetry_space_group_name_H-M 'P 4/m b m'
_symmetry_Int_Tables_number 127
_symmetry_space_group_name_Hall '-P 4 2ab'
loop_
_atom_site_label
_atom_site_type_symbol
_atom_site_fract_x
_atom_site_fract_y
_atom_site_fract_z
_atom_site_occupancy
Cd1 Cd 0.1729 0.3271 0.0000 1
Sn1 Sn 0.1272 0.6272 0.5000 1
I1 I 0.0000 0.0000 0.5000 1
```

Below is a relaxed structure of Sn2H5Os, with properties calculated at the PBE level.

Properties
Total energy, eV/atom: -4.406
DOS(E_F), states/eV/cell: 1.66

Geometry as CIF:
```
data_Sn2H5Os
_cell_length_a 4.7769
_cell_length_b 5.0326
_cell_length_c 5.1106
_cell_angle_alpha 69.38
_cell_angle_beta 89.96
_cell_angle_gamma 61.78
_symmetry_space_group_name_H-M 'P 1'
_symmetry_Int_Tables_number 1
_symmetry_space_group_name_Hall 'P 1'
loop_
_atom_site_label
_atom_site_type_symbol
_atom_site_fract_x
_atom_site_fract_y
_atom_site_fract_z
_atom_site_occupancy
Sn1 Sn 0.0000 0.0000 0.0000 1
Sn2 Sn 0.1897 0.6217 0.6126 1
H1 H 0.2034 0.1734 0.4674 1
H2 H 0.5766 0.8446 0.0789 1
H3 H 0.6071 0.7887 0.4764 1
H4 H 0.6259 0.1742 0.4689 1
H5 H 0.7382 0.5243 0.9149 1
Os1 Os 0.5299 0.9408 0.7241 1
```

Below is a relaxed structure of Sm6InRh, with properties calculated at the PBE level.

Properties
DOS(E_F), states/eV/cell: 20.97
Energy of formation, eV/atom: -0.14

Geometry as CIF:
```
data_Sm6InRh
_cell_length_a 8.0484
_cell_length_b 10.2875
_cell_length_c 6.5375
_cell_angle_alpha 90.00
_cell_angle_beta 105.08
_cell_angle_gamma 90.00
_symmetry_space_group_name_H-M 'C 1 2/m 1'
_symmetry_Int_Tables_number 12
_symmetry_space_group_name_Hall '-C 2y'
loop_
_atom_site_label
_atom_site_type_symbol
_atom_site_fract_x
_atom_site_fract_y
_atom_site_fract_z
_atom_site_occupancy
Sm1 Sm 0.1192 0.1900 0.2902 1
Sm2 Sm 0.2165 0.5000 0.1472 1
In1 In 0.0000 0.5000 0.5000 1
Rh1 Rh 0.0000 0.0000 0.0000 1
```

Below is a relaxed structure of FeTcSe2, with properties calculated at the PBE level.

Properties
DOS(E_F), states/eV/cell: 18.95
Offset from the most stable computed form, eV per atom: 0.990
E_form (uncorrected), eV/atom: 0.757

Geometry as CIF:
```
data_FeTcSe2
_cell_length_a 6.3718
_cell_length_b 6.3718
_cell_length_c 6.3718
_cell_angle_alpha 90.00
_cell_angle_beta 90.00
_cell_angle_gamma 90.00
_symmetry_space_group_name_H-M 'F -4 3 m'
_symmetry_Int_Tables_number 216
_symmetry_space_group_name_Hall 'F -4 2 3'
loop_
_atom_site_label
_atom_site_type_symbol
_atom_site_fract_x
_atom_site_fract_y
_atom_site_fract_z
_atom_site_occupancy
Fe1 Fe 0.0000 0.0000 0.0000 1
Tc1 Tc 0.2500 0.2500 0.7500 1
Se1 Se 0.0000 0.0000 0.5000 1
Se2 Se 0.2500 0.2500 0.2500 1
```

Below is a relaxed structure of Tb7Nd12Pu, with properties calculated at the PBE level.

Properties
DOS(E_F), states/eV/cell: 95.10
Energy of formation, eV/atom: 0.22

Geometry as CIF:
```
data_Tb7Nd12Pu
_cell_length_a 19.6420
_cell_length_b 19.6420
_cell_length_c 6.2233
_cell_angle_alpha 90.00
_cell_angle_beta 90.00
_cell_angle_gamma 120.00
_symmetry_space_group_name_H-M 'R -3 m'
_symmetry_Int_Tables_number 166
_symmetry_space_group_name_Hall '-R 3 2"'
loop_
_atom_site_label
_atom_site_type_symbol
_atom_site_fract_x
_atom_site_fract_y
_atom_site_fract_z
_atom_site_occupancy
Tb1 Tb 0.0000 0.0000 0.0000 1
Tb2 Tb 0.0802 0.1604 0.3033 1
Nd1 Nd 0.0000 0.4127 0.0000 1
Nd2 Nd 0.0973 0.5487 0.4779 1
Pu1 Pu 0.0000 0.0000 0.5000 1
```

Below is a relaxed structure of Tb6InRu2, with properties calculated at the PBE level.

Properties
DOS(E_F), states/eV/cell: 33.63
Offset from the most stable computed form, eV per atom: 0.000
Energy of formation, eV/atom: -0.37

Geometry as CIF:
```
data_Tb6InRu2
_cell_length_a 9.4084
_cell_length_b 9.5547
_cell_length_c 10.5197
_cell_angle_alpha 90.00
_cell_angle_beta 90.00
_cell_angle_gamma 90.00
_symmetry_space_group_name_H-M 'I m m m'
_symmetry_Int_Tables_number 71
_symmetry_space_group_name_Hall '-I 2 2'
loop_
_atom_site_label
_atom_site_type_symbol
_atom_site_fract_x
_atom_site_fract_y
_atom_site_fract_z
_atom_site_occupancy
Tb1 Tb 0.0000 0.2046 0.2395 1
Tb2 Tb 0.1879 0.5000 0.1704 1
Tb3 Tb 0.2127 0.3166 0.5000 1
In1 In 0.0000 0.0000 0.0000 1
In2 In 0.0000 0.0000 0.5000 1
Ru1 Ru 0.0000 0.3244 0.0000 1
Ru2 Ru 0.0000 0.5000 0.3728 1
```

Below is a relaxed structure of VCuSn3, with properties calculated at the PBE level.

Properties
DOS(E_F), states/eV/cell: 7.11
Energy of formation, eV/atom: 0.69

Geometry as CIF:
```
data_VCuSn3
_cell_length_a 5.0401
_cell_length_b 5.0401
_cell_length_c 5.0401
_cell_angle_alpha 90.00
_cell_angle_beta 90.00
_cell_angle_gamma 90.00
_symmetry_space_group_name_H-M 'P m -3 m'
_symmetry_Int_Tables_number 221
_symmetry_space_group_name_Hall '-P 4 2 3'
loop_
_atom_site_label
_atom_site_type_symbol
_atom_site_fract_x
_atom_site_fract_y
_atom_site_fract_z
_atom_site_occupancy
V1 V 0.0000 0.0000 0.0000 1
Cu1 Cu 0.5000 0.5000 0.5000 1
Sn1 Sn 0.0000 0.5000 0.5000 1
```

Below is a relaxed structure of AcNd4Te6, with properties calculated at the PBE level.

Properties
DOS(E_F), states/eV/cell: 16.86
E_form (uncorrected), eV/atom: -1.484

Geometry as CIF:
```
data_AcNd4Te6
_cell_length_a 4.4854
_cell_length_b 14.7150
_cell_length_c 22.9890
_cell_angle_alpha 90.00
_cell_angle_beta 90.00
_cell_angle_gamma 90.00
_symmetry_space_group_name_H-M 'C m c m'
_symmetry_Int_Tables_number 63
_symmetry_space_group_name_Hall '-C 2c 2'
loop_
_atom_site_label
_atom_site_type_symbol
_atom_site_fract_x
_atom_site_fract_y
_atom_site_fract_z
_atom_site_occupancy
Ac1 Ac 0.0000 0.1587 0.2500 1
Nd1 Nd 0.0000 0.0906 0.6236 1
Nd2 Nd 0.0000 0.3567 0.5358 1
Te1 Te 0.0000 0.0000 0.0000 1
Te2 Te 0.0000 0.1764 0.7500 1
Te3 Te 0.0000 0.2650 0.0938 1
Te4 Te 0.0000 0.4492 0.6636 1
```

Below is a relaxed structure of SmEr2In2Ag2, with properties calculated at the PBE level.

Properties
DOS(E_F), states/eV/cell: 14.56
Energy of formation, eV/atom: -0.28

Geometry as CIF:
```
data_SmEr2In2Ag2
_cell_length_a 4.8624
_cell_length_b 4.8624
_cell_length_c 26.5785
_cell_angle_alpha 90.00
_cell_angle_beta 90.00
_cell_angle_gamma 120.00
_symmetry_space_group_name_H-M 'R -3 m'
_symmetry_Int_Tables_number 166
_symmetry_space_group_name_Hall '-R 3 2"'
loop_
_atom_site_label
_atom_site_type_symbol
_atom_site_fract_x
_atom_site_fract_y
_atom_site_fract_z
_atom_site_occupancy
Sm1 Sm 0.0000 0.0000 0.0000 1
Er1 Er 0.0000 0.0000 0.1272 1
In1 In 0.0000 0.0000 0.2578 1
Ag1 Ag 0.0000 0.0000 0.4041 1
```

Below is a relaxed structure of Nd2Ag2Pt15, with properties calculated at the PBE level.

Properties
DOS(E_F), states/eV/cell: 44.75
Energy of formation, eV/atom: -0.44

Geometry as CIF:
```
data_Nd2Ag2Pt15
_cell_length_a 9.3573
_cell_length_b 9.3573
_cell_length_c 13.4464
_cell_angle_alpha 90.00
_cell_angle_beta 90.00
_cell_angle_gamma 120.00
_symmetry_space_group_name_H-M 'R -3 m'
_symmetry_Int_Tables_number 166
_symmetry_space_group_name_Hall '-R 3 2"'
loop_
_atom_site_label
_atom_site_type_symbol
_atom_site_fract_x
_atom_site_fract_y
_atom_site_fract_z
_atom_site_occupancy
Nd1 Nd 0.0000 0.0000 0.1555 1
Ag1 Ag 0.0000 0.0000 0.3996 1
Pt1 Pt 0.0000 0.3156 0.5000 1
Pt2 Pt 0.0000 0.5000 0.0000 1
Pt3 Pt 0.0046 0.5023 0.6587 1
```